Record 1
DFT (PBE-GGA) results for an optimized crystal structure of Sc2SnHg5.

Results
The crystal system is orthorhombic. Its raw total energy is -40.492 eV per cell. The spin magnetization comes out at 0.00 μB/cell.

Cell lengths 6.4402, 12.8621, 4.3548 Å; angles 90.00, 90.00, 90.00 degrees
With the nearest neighbours (Å) after each atom.
Fractional positions:
Sc 0.2249 0.1184 0.0000  2 Sn 3.03, 10 Hg 3.16-3.26
Sc 0.2751 0.6184 0.0000  2 Sn 3.03, 10 Hg 3.16-3.26
Sc 0.7249 0.3816 0.0000  2 Sn 3.03, 10 Hg 3.16-3.26
Sc 0.7751 0.8816 0.0000  2 Sn 3.03, 10 Hg 3.16-3.26
Sn 0.0000 0.0000 0.5000  4 Sc 3.03, 8 Hg 3.22-3.26
Sn 0.5000 0.5000 0.5000  4 Sc 3.03, 8 Hg 3.22-3.26
Hg 0.0000 0.5000 0.5000  6 Hg 3.13-3.18, 4 Sc 3.19, 2 Sn 3.22
Hg 0.0292 0.7467 0.5000  7 Hg 3.10-3.22, 4 Sc 3.16-3.23, 1 Sn 3.26
Hg 0.2302 0.3689 0.0000  6 Hg 3.10-3.13, 4 Sc 3.19-3.26, 2 Sn 3.26
Hg 0.2698 0.8689 0.0000  6 Hg 3.10-3.13, 4 Sc 3.19-3.26, 2 Sn 3.26
Hg 0.4708 0.2467 0.5000  7 Hg 3.10-3.22, 4 Sc 3.16-3.23, 1 Sn 3.26
Hg 0.5000 0.0000 0.5000  6 Hg 3.13-3.18, 4 Sc 3.19, 2 Sn 3.22
Hg 0.5292 0.7533 0.5000  7 Hg 3.10-3.22, 4 Sc 3.16-3.23, 1 Sn 3.26
Hg 0.7302 0.1311 0.0000  6 Hg 3.10-3.13, 4 Sc 3.19-3.26, 2 Sn 3.26
Hg 0.7698 0.6311 0.0000  6 Hg 3.10-3.13, 4 Sc 3.19-3.26, 2 Sn 3.26
Hg 0.9708 0.2533 0.5000  7 Hg 3.10-3.22, 4 Sc 3.16-3.23, 1 Sn 3.26

---

Record 2
DFT (PBE-GGA) results for an optimized crystal structure of Sc7Sn2Hg2.

Results
The crystal system is orthorhombic. Its raw total energy is -54.407 eV per cell. The spin magnetization comes out at 0.00 μB/cell.

Cell lengths 6.5051, 6.5051, 7.0235 Å; angles 90.00, 90.00, 106.95 degrees
With the nearest neighbours (Å) after each atom.
Fractional positions:
Sc 0.0000 0.0000 0.0000  2 Hg 3.00
Sc 0.0000 0.5000 0.2805  2 Hg 2.79, 2 Sn 3.08, 1 Sc 3.08
Sc 0.0000 0.5000 0.7195  2 Hg 2.79, 2 Sn 3.08, 1 Sc 3.08
Sc 0.5000 0.0000 0.2805  2 Hg 2.79, 2 Sn 3.08, 1 Sc 3.08
Sc 0.5000 0.0000 0.7195  2 Hg 2.79, 2 Sn 3.08, 1 Sc 3.08
Sc 0.5000 0.5000 0.2549  2 Hg 2.86, 2 Sn 2.99
Sc 0.5000 0.5000 0.7451  2 Hg 2.86, 2 Sn 2.99
Sn 0.1849 0.1849 0.5000  1 Sn 2.86, 6 Sc 2.99-3.08
Sn 0.8151 0.8151 0.5000  1 Sn 2.86, 6 Sc 2.99-3.08
Hg 0.2867 0.7133 0.0000  7 Sc 2.79-3.00
Hg 0.7133 0.2867 0.0000  7 Sc 2.79-3.00